1.
# V12SiGe6 | Alexandria via LeMat-Bulk | GGA-PBE | optimized geometry
# Formation energy (no corrections)   2.45 eV/f.u.
data_V12SiGe6
_cell_length_a 10.4665
_cell_length_b 10.4665
_cell_length_c 9.3746
_cell_angle_alpha 90.00
_cell_angle_beta 90.00
_cell_angle_gamma 120.00
_space_group_name_H-M_alt 'R -3'
_space_group_IT_number 148
_space_group_name_Hall '-R 3'
loop_
_atom_site_label
_atom_site_type_symbol
_atom_site_fract_x
_atom_site_fract_y
_atom_site_fract_z
_atom_site_occupancy
V1 V 0.0342 0.1566 0.3793 1
V2 V 0.0836 0.1995 0.8512 1
Si1 Si 0.0000 0.0000 0.0000 1
Ge1 Ge 0.0257 0.3990 0.2879 1


2.
# PrSm2DyY5 | Alexandria via LeMat-Bulk | GGA-PBE | optimized geometry
# Formation enthalpy at 0 K   0.249 eV per atom
data_PrSm2DyY5
_cell_length_a 8.666
_cell_length_b 8.666
_cell_length_c 15.746
_cell_angle_alpha 90.00
_cell_angle_beta 90.00
_cell_angle_gamma 90.00
_space_group_name_H-M_alt 'I 4/m c m'
_space_group_IT_number 140
_space_group_name_Hall '-I 4 2c'
loop_
_atom_site_label
_atom_site_type_symbol
_atom_site_fract_x
_atom_site_fract_y
_atom_site_fract_z
_atom_site_occupancy
Pr1 Pr 0.000 0.500 0.250 1
Sm1 Sm 0.118 0.382 0.000 1
Dy1 Dy 0.000 0.000 0.250 1
Y1 Y 0.000 0.000 0.000 1
Y2 Y 0.206 0.294 0.363 1


3.
# HfMgB3 | Alexandria via LeMat-Bulk | GGA-PBE | optimized geometry
# Formation enthalpy at 0 K   1.409 eV per atom
# Distance to the lowest polymorph of the same formula   0.00 eV per formula unit
data_HfMgB3
_cell_length_a 4.390
_cell_length_b 4.390
_cell_length_c 4.390
_cell_angle_alpha 90.00
_cell_angle_beta 90.00
_cell_angle_gamma 90.00
_space_group_name_H-M_alt 'P m -3 m'
_space_group_IT_number 221
_space_group_name_Hall '-P 4 2 3'
loop_
_atom_site_label
_atom_site_type_symbol
_atom_site_fract_x
_atom_site_fract_y
_atom_site_fract_z
_atom_site_occupancy
Hf1 Hf 0.000 0.000 0.000 1
Mg1 Mg 0.500 0.500 0.500 1
B1 B 0.000 0.000 0.500 1


It is found that the energy values, taken in the order of the records, are -420.3 -195.6 -24.5 eV for the cell shown.
It is found that the magnetic moment values, taken in the order of the records, are 0.000 0.000 0.000 μB per atom.